Cu2TcI PBE-GGA relaxed; ρ = 6596 kg/m3; magnetization = 0.0 μB per cell; space-group type = P1 (1); energy above the most stable polymorph in this dataset = 4 kJ/mol of formula units; DOS(E_F) = 4.078 states/eV per cell; formation energy (no corrections) = 205 meV per atom; crystal system = triclinic
1.0
-1.489 -0.215 3.550
-2.168 -2.619 -3.151
7.175 -7.813 2.578
I Tc Cu
2 2 4
Direct
0.036 0.223 0.820
0.288 0.760 0.500
0.011 0.195 0.066
0.430 0.038 0.181
0.720 0.617 0.129
0.139 0.458 0.282
0.855 0.892 0.347
0.293 0.760 0.969